Entry 1:
YEr2Be | PBE-GGA | relaxed

Properties
- energy above the lowest structure with this stoichiometry (eV/f.u.) = 0.000
- SG = P4/mmm, No. 123

The structure in POSCAR format:
```
YEr2Be
1.0
-0.976 2.473 -2.195
-2.423 -2.092 -1.279
-5.579 2.929 5.780
Er Be Y
2 1 1
Direct
0.000 0.000 0.809
0.000 0.000 0.191
0.500 0.500 0.000
0.500 0.500 0.500
```



Entry 2:
Er4ZnCo | PBE-GGA | relaxed

Properties
- energy above the lowest structure with this stoichiometry (eV/f.u.) = 0.000
- SG = F-43m, No. 216

The structure in POSCAR format:
```
Er4ZnCo
1.0
8.014 0.000 4.627
2.671 7.556 4.627
0.000 0.000 9.254
Er Zn Co
16 4 4
Direct
0.559 0.559 0.941
0.188 0.188 0.812
0.559 0.941 0.559
0.941 0.559 0.559
0.812 0.188 0.812
0.941 0.941 0.559
0.941 0.559 0.941
0.188 0.812 0.812
0.559 0.941 0.941
0.812 0.188 0.188
0.400 0.400 0.400
0.400 0.400 0.800
0.800 0.400 0.400
0.188 0.812 0.188
0.400 0.800 0.400
0.812 0.812 0.188
0.482 0.173 0.173
0.173 0.482 0.173
0.173 0.173 0.173
0.173 0.173 0.482
0.608 0.176 0.608
0.608 0.608 0.176
0.176 0.608 0.608
0.608 0.608 0.608
```



Entry 3:
PmTmBeHg | PBE-GGA | relaxed

Properties
- total energy (eV per atom) = -3.41
- SG = F-43m, No. 216

The structure in POSCAR format:
```
PmTmBeHg
1.0
5.132 0.000 0.000
2.566 4.444 0.000
2.566 1.481 4.190
Tm Hg Pm Be
1 1 1 1
Direct
0.750 0.750 0.750
0.500 0.500 0.500
0.250 0.250 0.250
0.000 0.000 0.000
```